! Ac4Nd2Sm3, relaxed, DFT PBE; values from VASP
&SYSTEM
  ibrav = 0, nat = 9, ntyp = 3
/
ATOMIC_SPECIES
Ac 227.00 Ac.upf
Nd 144.24 Nd.upf
Sm 150.36 Sm.upf
CELL_PARAMETERS angstrom
5.4329 0.0000 0.0000
2.7086 5.9341 0.0000
0.0047 3.3749 10.8727
ATOMIC_POSITIONS angstrom
Ac 1.3554 4.0453 3.6270
Ac 4.0684 5.3162 1.2099
Ac 4.0778 3.9929 9.6628
Ac 6.7908 5.2637 7.2457
Nd 4.0717 7.6038 8.4010
Nd 4.0745 1.7052 2.4718
Sm 1.3543 2.9671 0.0000
Sm 4.0706 6.4396 4.8781
Sm 4.0756 2.8694 5.9947
! * crystal system: triclinic
! * energy of formation: 0.041 eV per atom
! * electronic total energy: -4.42 eV per atom
! * size of the total moment: 0.0 Bohr magnetons per cell
! * symmetry: P-1, No. 2